Computed, not measured: a geometry-optimized GdZrRe structure at the PBE level of DFT.

ΔE_f ... 1308 meV per atom
Spin magnetization ... 0.001 μB per cell
SG ... No. 216

Lattice parameters (Å, degrees): 4.652 4.652 4.652 60.00 60.00 60.00
Sites, in units of the cell vectors:
Gd 0.000 0.000 0.000
Re 0.250 0.250 0.250
Zr 0.750 0.750 0.750

Computed, not measured: a geometry-optimized Gd2S3 structure at the PBE level of DFT.

Uncorrected energy ... -0.2359 hartree per atom
Spin magnetization ... 0.000 μB per cell
SG ... No. 62

Lattice parameters (Å, degrees): 7.347 15.295 3.937 90.00 90.00 90.00
Sites, in units of the cell vectors:
Gd 0.142 0.204 0.250
Gd 0.642 0.296 0.250
Gd 0.766 0.543 0.250
Gd 0.266 0.957 0.250
Gd 0.734 0.043 0.750
Gd 0.234 0.457 0.750
Gd 0.358 0.704 0.750
Gd 0.858 0.796 0.750
S 0.509 0.109 0.250
S 0.009 0.391 0.250
S 0.375 0.567 0.250
S 0.649 0.719 0.250
S 0.149 0.781 0.250
S 0.875 0.933 0.250
S 0.125 0.067 0.750
S 0.851 0.219 0.750
S 0.351 0.281 0.750
S 0.625 0.433 0.750
S 0.991 0.609 0.750
S 0.491 0.891 0.750

Computed, not measured: a geometry-optimized Gd2S3 structure at the PBE level of DFT.

Uncorrected energy ... -0.2360 hartree per atom
Spin magnetization ... 0.010 μB per cell
SG ... No. 62

Lattice parameters (Å, degrees): 10.753 3.914 10.522 90.00 90.00 90.00
Sites, in units of the cell vectors:
Gd 0.192 0.750 0.004
Gd 0.490 0.250 0.186
Gd 0.990 0.250 0.314
Gd 0.692 0.750 0.496
Gd 0.308 0.250 0.504
Gd 0.010 0.750 0.686
Gd 0.510 0.750 0.814
Gd 0.808 0.250 0.996
S 0.620 0.750 0.056
S 0.954 0.750 0.127
S 0.228 0.250 0.197
S 0.728 0.250 0.303
S 0.454 0.750 0.373
S 0.120 0.750 0.444
S 0.880 0.250 0.556
S 0.546 0.250 0.627
S 0.272 0.750 0.697
S 0.772 0.750 0.803
S 0.046 0.250 0.873
S 0.380 0.250 0.944

Computed, not measured: a geometry-optimized Gd3SbS2 structure at the PBE level of DFT.

Uncorrected energy ... -0.2238 hartree per atom
Spin magnetization ... 0.000 μB per cell
SG ... No. 164

Lattice parameters (Å, degrees): 4.107 4.107 10.052 90.00 90.00 120.00
Sites, in units of the cell vectors:
Gd 0.667 0.333 0.192
Gd 0.000 0.000 0.500
Gd 0.333 0.667 0.808
S 0.333 0.667 0.345
S 0.667 0.333 0.655
Sb 0.000 0.000 0.000

Computed, not measured: a geometry-optimized GdSc2S3 structure at the PBE level of DFT.

Uncorrected energy ... -0.2521 hartree per atom
Spin magnetization ... 0.005 μB per cell
SG ... No. 164

Lattice parameters (Å, degrees): 3.760 3.760 9.316 90.00 90.00 120.00
Sites, in units of the cell vectors:
Gd 0.000 0.000 0.000
S 0.333 0.667 0.185
S 0.000 0.000 0.500
S 0.667 0.333 0.815
Sc 0.667 0.333 0.340
Sc 0.333 0.667 0.660

Computed, not measured: a geometry-optimized Gd2ScS3 structure at the PBE level of DFT.

Uncorrected energy ... -0.2437 hartree per atom
Spin magnetization ... 0.002 μB per cell
SG ... No. 164

Lattice parameters (Å, degrees): 3.854 3.854 9.494 90.00 90.00 120.00
Sites, in units of the cell vectors:
Gd 0.333 0.667 0.174
Gd 0.667 0.333 0.826
S 0.000 0.000 0.000
S 0.667 0.333 0.350
S 0.333 0.667 0.650
Sc 0.000 0.000 0.500

Computed, not measured: a geometry-optimized Gd3Se2S structure at the PBE level of DFT.

Uncorrected energy ... -0.2222 hartree per atom
Spin magnetization ... 0.002 μB per cell
SG ... No. 164

Lattice parameters (Å, degrees): 4.055 4.055 9.970 90.00 90.00 120.00
Sites, in units of the cell vectors:
Gd 0.667 0.333 0.152
Gd 0.000 0.000 0.500
Gd 0.333 0.667 0.848
S 0.000 0.000 0.000
Se 0.333 0.667 0.328
Se 0.667 0.333 0.672

Computed, not measured: a geometry-optimized GdSeS structure at the PBE level of DFT.

Uncorrected energy ... -0.2120 hartree per atom
Spin magnetization ... 0.003 μB per cell
SG ... No. 14

Lattice parameters (Å, degrees): 8.146 4.003 8.093 90.00 90.08 90.00
Sites, in units of the cell vectors:
Gd 0.287 0.225 0.126
Gd 0.713 0.725 0.374
Gd 0.287 0.275 0.626
Gd 0.713 0.775 0.874
S 0.632 0.244 0.125
S 0.368 0.744 0.375
S 0.632 0.256 0.625
S 0.368 0.756 0.875
Se 0.001 0.701 0.122
Se 0.999 0.201 0.378
Se 0.001 0.799 0.622
Se 0.999 0.299 0.878

Computed, not measured: a geometry-optimized Gd4Si3S12 structure at the PBE level of DFT.

Uncorrected energy ... -0.2146 hartree per atom
Spin magnetization ... 0.003 μB per cell
SG ... No. 161

Lattice parameters (Å, degrees): 11.273 11.273 11.273 114.88 114.88 114.88
Sites, in units of the cell vectors:
Gd 0.438 0.974 0.215
Gd 0.974 0.215 0.438
Gd 0.938 0.715 0.474
Gd 0.492 0.492 0.492
Gd 0.474 0.938 0.715
Gd 0.715 0.474 0.938
Gd 0.215 0.438 0.974
Gd 0.992 0.992 0.992
S 0.624 0.353 0.086
S 0.799 0.118 0.088
S 0.088 0.799 0.118
S 0.586 0.853 0.124
S 0.180 0.365 0.178
S 0.365 0.178 0.180
S 0.888 0.811 0.279
S 0.588 0.618 0.299
S 0.388 0.779 0.311
S 0.086 0.624 0.353
S 0.178 0.180 0.365
S 0.779 0.311 0.388
S 0.853 0.124 0.586
S 0.618 0.299 0.588
S 0.299 0.588 0.618
S 0.353 0.086 0.624
S 0.865 0.680 0.678
S 0.678 0.865 0.680
S 0.311 0.388 0.779
S 0.118 0.088 0.799
S 0.279 0.888 0.811
S 0.124 0.586 0.853
S 0.680 0.678 0.865
S 0.811 0.279 0.888
Si 0.969 0.354 0.142
Si 0.142 0.969 0.354
Si 0.642 0.854 0.469
Si 0.854 0.469 0.642
Si 0.469 0.642 0.854
Si 0.354 0.142 0.969

Computed, not measured: a geometry-optimized SmGd2S3 structure at the PBE level of DFT.

Uncorrected energy ... -0.2361 hartree per atom
Spin magnetization ... 0.001 μB per cell
SG ... No. 164

Lattice parameters (Å, degrees): 3.964 3.964 9.730 90.00 90.00 120.00
Sites, in units of the cell vectors:
Gd 0.333 0.667 0.166
Gd 0.667 0.333 0.834
S 0.000 0.000 0.000
S 0.667 0.333 0.329
S 0.333 0.667 0.671
Sm 0.000 0.000 0.500

Computed, not measured: a geometry-optimized Sm2GdS3 structure at the PBE level of DFT.

Uncorrected energy ... -0.2366 hartree per atom
Spin magnetization ... 0.001 μB per cell
SG ... No. 164

Lattice parameters (Å, degrees): 3.982 3.982 9.771 90.00 90.00 120.00
Sites, in units of the cell vectors:
Gd 0.000 0.000 0.000
S 0.333 0.667 0.162
S 0.000 0.000 0.500
S 0.667 0.333 0.838
Sm 0.667 0.333 0.333
Sm 0.333 0.667 0.667

Computed, not measured: a geometry-optimized Sr2GdS3 structure at the PBE level of DFT.

Uncorrected energy ... -0.2012 hartree per atom
Spin magnetization ... 0.007 μB per cell
SG ... No. 164

Lattice parameters (Å, degrees): 4.119 4.119 10.290 90.00 90.00 120.00
Sites, in units of the cell vectors:
Gd 0.000 0.000 0.500
S 0.000 0.000 0.000
S 0.667 0.333 0.349
S 0.333 0.667 0.651
Sr 0.333 0.667 0.172
Sr 0.667 0.333 0.828